Material: CsAgOs3
Method: DFT, GGA-PBE
State: relaxed

Computed properties:
- energy of formation from the pure elements (meV/atom) = 3925

a = 4.962 Å, b = 4.962 Å, c = 4.962 Å
α = 90.00°, β = 90.00°, γ = 90.00°
Space group Pm-3m (No. 221)
Symmetry-distinct sites (fractional):
1 Cs 0.000 0.000 0.000 x1
2 Ag 0.500 0.500 0.500 x1
3 Os 0.000 0.000 0.500 x3



Material: Na2Tl4Hg3
Method: DFT, GGA-PBE
State: relaxed

Computed properties:
- energy of formation from the pure elements (meV/atom) = -96
- excess energy over the best structure of this formula in the dataset (meV per atom) = 0.0

a = 14.957 Å, b = 11.152 Å, c = 6.145 Å
α = 90.00°, β = 94.82°, γ = 90.00°
Space group C2/c (No. 15)
Symmetry-distinct sites (fractional):
1 Na 0.119 0.133 0.319 x8
2 Tl 0.051 0.363 0.011 x8
3 Tl 0.220 0.137 0.835 x8
4 Hg 0.000 0.102 0.750 x4
5 Hg 0.166 0.386 0.578 x8



Material: Tb2CoSe
Method: DFT, GGA-PBE
State: relaxed

Computed properties:
- raw formation energy (meV/atom) = -969.9
- excess energy over the best structure of this formula in the dataset (meV per atom) = 0.0

a = 4.069 Å, b = 22.449 Å, c = 3.997 Å
α = 90.00°, β = 90.00°, γ = 90.00°
Space group Cmcm (No. 63)
Symmetry-distinct sites (fractional):
1 Tb 0.000 0.064 0.250 x4
2 Tb 0.000 0.324 0.250 x4
3 Co 0.000 0.475 0.250 x4
4 Se 0.000 0.194 0.250 x4



Material: RePC3
Method: DFT, GGA-PBE
State: relaxed

Computed properties:
- energy of formation from the pure elements (meV/atom) = 2219
- excess energy over the best structure of this formula in the dataset (meV per atom) = 0.0

a = 4.046 Å, b = 4.046 Å, c = 4.046 Å
α = 90.00°, β = 90.00°, γ = 90.00°
Space group Pm-3m (No. 221)
Symmetry-distinct sites (fractional):
1 Re 0.000 0.000 0.000 x1
2 P 0.500 0.500 0.500 x1
3 C 0.000 0.000 0.500 x3



Material: Cd2GaCuH
Method: DFT, GGA-PBE
State: relaxed

Computed properties:
- VASP energy (eV/atom) = -2.046

a = 5.316 Å, b = 5.316 Å, c = 3.280 Å
α = 90.00°, β = 90.00°, γ = 90.00°
Space group P4/mmm (No. 123)
Symmetry-distinct sites (fractional):
1 Cd 0.000 0.500 0.000 x2
2 Ga 0.000 0.000 0.000 x1
3 Cu 0.500 0.500 0.500 x1
4 H 0.000 0.000 0.500 x1



Material: LiRuO
Method: DFT, GGA-PBE
State: relaxed

Computed properties:
- raw formation energy (meV/atom) = -678.1

a = 2.8232 Å, b = 2.8232 Å, c = 4.9286 Å
α = 90.00°, β = 90.00°, γ = 120.00°
Space group P3m1 (No. 156)
Symmetry-distinct sites (fractional):
1 Li 0.0000 0.0000 0.0000 x1
2 Ru 0.3333 0.6667 0.5189 x1
3 O 0.6667 0.3333 0.2677 x1



Material: Dy2CuPd
Method: DFT, GGA-PBE
State: relaxed

Computed properties:
- energy of formation from the pure elements (meV/atom) = -605

a = 5.524 Å, b = 4.564 Å, c = 7.438 Å
α = 90.00°, β = 109.62°, γ = 90.00°
Space group P2_1/m (No. 11)
Symmetry-distinct sites (fractional):
1 Dy 0.222 0.250 0.430 x2
2 Dy 0.223 0.250 0.931 x2
3 Cu 0.343 0.750 0.709 x2
4 Pd 0.342 0.750 0.213 x2



Material: NpMnTlS4
Method: DFT, GGA-PBE
State: relaxed

Computed properties:
- raw formation energy (meV/atom) = -821.5

a = 6.470 Å, b = 6.246 Å, c = 8.873 Å
α = 90.00°, β = 108.44°, γ = 90.00°
Space group P2_1/m (No. 11)
Symmetry-distinct sites (fractional):
1 Np 0.232 0.250 0.053 x2
2 Mn 0.224 0.750 0.829 x2
3 Tl 0.278 0.250 0.563 x2
4 S 0.019 0.511 0.205 x4
5 S 0.434 0.750 0.673 x2
6 S 0.438 0.750 0.079 x2



Material: LaNd2Ge2Pd2
Method: DFT, GGA-PBE
State: relaxed

Computed properties:
- energy of formation from the pure elements (meV/atom) = -809

a = 4.5302 Å, b = 4.5302 Å, c = 28.7405 Å
α = 90.00°, β = 90.00°, γ = 120.00°
Space group R-3m (No. 166, hexagonal axes)
Symmetry-distinct sites (fractional):
1 La 0.0000 0.0000 0.0000 x3
2 Nd 0.0000 0.0000 0.1252 x6
3 Ge 0.0000 0.0000 0.2586 x6
4 Pd 0.0000 0.0000 0.3999 x6



Material: TiCdAgHg
Method: DFT, GGA-PBE
State: relaxed

Computed properties:
- energy of formation from the pure elements (meV/atom) = 63

a = 6.732 Å, b = 6.732 Å, c = 6.732 Å
α = 90.00°, β = 90.00°, γ = 90.00°
Space group F-43m (No. 216)
Symmetry-distinct sites (fractional):
1 Ti 0.000 0.000 0.000 x4
2 Cd 0.000 0.000 0.500 x4
3 Ag 0.250 0.250 0.250 x4
4 Hg 0.250 0.250 0.750 x4



Material: Ca2TaHg
Method: DFT, GGA-PBE
State: relaxed

Computed properties:
- energy of formation from the pure elements (meV/atom) = 521

a = 3.556 Å, b = 5.275 Å, c = 10.643 Å
α = 90.00°, β = 90.00°, γ = 90.00°
Space group Immm (No. 71)
Symmetry-distinct sites (fractional):
1 Ca 0.000 0.000 0.235 x4
2 Ta 0.000 0.500 0.000 x2
3 Hg 0.000 0.500 0.500 x2



Material: Li2TeAs
Method: DFT, GGA-PBE
State: relaxed

Computed properties:
- raw formation energy (meV/atom) = -344.9
- excess energy over the best structure of this formula in the dataset (meV per atom) = 161.4

a = 7.664 Å, b = 7.664 Å, c = 5.718 Å
α = 90.00°, β = 90.00°, γ = 90.00°
Space group I-42d (No. 122)
Symmetry-distinct sites (fractional):
1 Li 0.230 0.750 0.125 x8
2 Te 0.000 0.000 0.500 x4
3 As 0.000 0.000 0.000 x4



Material: SmTlGeBr6
Method: DFT, GGA-PBE
State: relaxed

Computed properties:
- raw formation energy (meV/atom) = -1226.1

a = 7.3868 Å, b = 7.3868 Å, c = 7.2728 Å
α = 90.00°, β = 90.00°, γ = 120.00°
Space group P312 (No. 149)
Symmetry-distinct sites (fractional):
1 Sm 0.0000 0.0000 0.0000 x1
2 Tl 0.3333 0.6667 0.5000 x1
3 Ge 0.6667 0.3333 0.0000 x1
4 Br 0.3377 0.0366 0.2239 x6



| no. | total magnetic moment (μB/f.u.) |
| --- | --- |
| 1 | 4.77 |
| 2 | 0.00 |
| 3 | 0.59 |
| 4 | 0.00 |
| 5 | 0.00 |
| 6 | 0.00 |
| 7 | 0.00 |
| 8 | 7.00 |
| 9 | 0.00 |
| 10 | 0.00 |
| 11 | 1.10 |
| 12 | 0.00 |
| 13 | 0.00 |